[1]
# GGA-PBE Ca4Ac5Au4, relaxed
data_Ca4Ac5Au4
_chemical_formula_sum 'Ca8 Ac10 Au8'
_cell_length_a 14.6237
_cell_length_b 14.6237
_cell_length_c 4.1331
_cell_angle_alpha 90.00
_cell_angle_beta 90.00
_cell_angle_gamma 90.00
_symmetry_space_group_name_H-M 'I 4/m'
_symmetry_Int_Tables_number 87
_symmetry_space_group_name_Hall '-I 4'
loop_
_atom_site_label
_atom_site_type_symbol
_atom_site_fract_x
_atom_site_fract_y
_atom_site_fract_z
Ca1 Ca 0.0916 0.3807 0.0000
Ac1 Ac 0.0000 0.0000 0.5000
Ac2 Ac 0.1387 0.8222 0.0000
Au1 Au 0.0289 0.2376 0.5000
# Total magnetic moment, Bohr magnetons per cell: 0.000
# DFT total energy, eV per atom: -3.70

---

[2]
# GGA-PBE ZrSbOs3, relaxed
data_ZrSbOs3
_chemical_formula_sum 'Zr1 Sb1 Os3'
_cell_length_a 4.7547
_cell_length_b 4.7547
_cell_length_c 4.7547
_cell_angle_alpha 90.00
_cell_angle_beta 90.00
_cell_angle_gamma 90.00
_symmetry_space_group_name_H-M 'P m -3 m'
_symmetry_Int_Tables_number 221
_symmetry_space_group_name_Hall '-P 4 2 3'
loop_
_atom_site_label
_atom_site_type_symbol
_atom_site_fract_x
_atom_site_fract_y
_atom_site_fract_z
Zr1 Zr 0.0000 0.0000 0.0000
Sb1 Sb 0.5000 0.5000 0.5000
Os1 Os 0.0000 0.5000 0.5000
# ΔE_f (raw), meV/atom: 1761
# Total magnetic moment, Bohr magnetons per cell: 0.000
# Distance to the lowest polymorph of the same formula, eV per atom: 0.000

---

[3]
# GGA-PBE DyZn4Ag8, relaxed
data_DyZn4Ag8
_chemical_formula_sum 'Dy2 Zn8 Ag16'
_cell_length_a 9.3630
_cell_length_b 9.3630
_cell_length_c 5.2823
_cell_angle_alpha 90.00
_cell_angle_beta 90.00
_cell_angle_gamma 90.00
_symmetry_space_group_name_H-M 'I 4/m m m'
_symmetry_Int_Tables_number 139
_symmetry_space_group_name_Hall '-I 4 2'
loop_
_atom_site_label
_atom_site_type_symbol
_atom_site_fract_x
_atom_site_fract_y
_atom_site_fract_z
Dy1 Dy 0.0000 0.0000 0.0000
Zn1 Zn 0.2500 0.2500 0.2500
Ag1 Ag 0.0000 0.2147 0.5000
Ag2 Ag 0.0000 0.3458 0.0000
# Total magnetic moment, Bohr magnetons per cell: 0.000
# DFT total energy, eV per atom: -2.63

---

[4]
# GGA-PBE LaPm2Ni, relaxed
data_LaPm2Ni
_chemical_formula_sum 'La3 Pm6 Ni3'
_cell_length_a 3.6909
_cell_length_b 3.6909
_cell_length_c 31.8689
_cell_angle_alpha 90.00
_cell_angle_beta 90.00
_cell_angle_gamma 120.00
_symmetry_space_group_name_H-M 'R -3 m'
_symmetry_Int_Tables_number 166
_symmetry_space_group_name_Hall '-R 3 2"'
loop_
_atom_site_label
_atom_site_type_symbol
_atom_site_fract_x
_atom_site_fract_y
_atom_site_fract_z
La1 La 0.0000 0.0000 0.0000
Pm1 Pm 0.0000 0.0000 0.1118
Ni1 Ni 0.0000 0.0000 0.5000
# Total magnetic moment, Bohr magnetons per cell: 1.335
# Distance to the lowest polymorph of the same formula, eV per atom: 0.253

---

[5]
# GGA-PBE LiPrO2, relaxed
data_LiPrO2
_chemical_formula_sum 'Li4 Pr4 O8'
_cell_length_a 6.6518
_cell_length_b 6.1907
_cell_length_c 6.9103
_cell_angle_alpha 90.00
_cell_angle_beta 120.64
_cell_angle_gamma 90.00
_symmetry_space_group_name_H-M 'P 1 21/c 1'
_symmetry_Int_Tables_number 14
_symmetry_space_group_name_Hall '-P 2ybc'
loop_
_atom_site_label
_atom_site_type_symbol
_atom_site_fract_x
_atom_site_fract_y
_atom_site_fract_z
Li1 Li 0.1830 0.1674 0.2861
Pr1 Pr 0.2787 0.6371 0.2395
O1 O 0.0557 0.6038 0.8209
O2 O 0.4673 0.1971 0.8574
# ΔE_f (raw), meV/atom: -2744
# Total magnetic moment, Bohr magnetons per cell: 0.000

---

[6]
# GGA-PBE PmTmLuAg, relaxed
data_PmTmLuAg
_chemical_formula_sum 'Pm4 Tm4 Lu4 Ag4'
_cell_length_a 7.5604
_cell_length_b 7.5604
_cell_length_c 7.5604
_cell_angle_alpha 90.00
_cell_angle_beta 90.00
_cell_angle_gamma 90.00
_symmetry_space_group_name_H-M 'F -4 3 m'
_symmetry_Int_Tables_number 216
_symmetry_space_group_name_Hall 'F -4 2 3'
loop_
_atom_site_label
_atom_site_type_symbol
_atom_site_fract_x
_atom_site_fract_y
_atom_site_fract_z
Pm1 Pm 0.0000 0.0000 0.0000
Tm1 Tm 0.2500 0.2500 0.7500
Lu1 Lu 0.2500 0.2500 0.2500
Ag1 Ag 0.0000 0.0000 0.5000
# Total magnetic moment, Bohr magnetons per cell: 0.003
# DFT total energy, eV per atom: -4.04

---

[7]
# GGA-PBE SrHgN2F, relaxed
data_SrHgN2F
_chemical_formula_sum 'Sr1 Hg1 N2 F1'
_cell_length_a 5.3358
_cell_length_b 5.3358
_cell_length_c 4.6545
_cell_angle_alpha 90.00
_cell_angle_beta 90.00
_cell_angle_gamma 90.00
_symmetry_space_group_name_H-M 'P 4/m m m'
_symmetry_Int_Tables_number 123
_symmetry_space_group_name_Hall '-P 4 2'
loop_
_atom_site_label
_atom_site_type_symbol
_atom_site_fract_x
_atom_site_fract_y
_atom_site_fract_z
Sr1 Sr 0.0000 0.0000 0.0000
Hg1 Hg 0.5000 0.5000 0.5000
N1 N 0.0000 0.5000 0.0000
F1 F 0.0000 0.0000 0.5000
# ΔE_f (raw), meV/atom: 424
# Total magnetic moment, Bohr magnetons per cell: 5.001
# Distance to the lowest polymorph of the same formula, eV per atom: 0.250

---

[8]
# GGA-PBE Sm3GdF, relaxed
data_Sm3GdF
_chemical_formula_sum 'Sm3 Gd1 F1'
_cell_length_a 5.1325
_cell_length_b 5.1325
_cell_length_c 5.1325
_cell_angle_alpha 90.00
_cell_angle_beta 90.00
_cell_angle_gamma 90.00
_symmetry_space_group_name_H-M 'P m -3 m'
_symmetry_Int_Tables_number 221
_symmetry_space_group_name_Hall '-P 4 2 3'
loop_
_atom_site_label
_atom_site_type_symbol
_atom_site_fract_x
_atom_site_fract_y
_atom_site_fract_z
Sm1 Sm 0.0000 0.0000 0.5000
Gd1 Gd 0.5000 0.5000 0.5000
F1 F 0.0000 0.0000 0.0000
# ΔE_f (raw), meV/atom: -961
# Total magnetic moment, Bohr magnetons per cell: 7.426

---

[9]
# GGA-PBE TbPm2PrSm6, relaxed
data_TbPm2PrSm6
_chemical_formula_sum 'Tb4 Pm8 Pr4 Sm24'
_cell_length_a 9.1567
_cell_length_b 15.3149
_cell_length_c 9.9149
_cell_angle_alpha 90.00
_cell_angle_beta 99.18
_cell_angle_gamma 90.00
_symmetry_space_group_name_H-M 'C 1 2/c 1'
_symmetry_Int_Tables_number 15
_symmetry_space_group_name_Hall '-C 2yc'
loop_
_atom_site_label
_atom_site_type_symbol
_atom_site_fract_x
_atom_site_fract_y
_atom_site_fract_z
Tb1 Tb 0.0000 0.0193 0.2500
Pm1 Pm 0.2399 0.0510 0.5415
Pr1 Pr 0.0000 0.4050 0.7500
Sm1 Sm 0.0658 0.1864 0.9436
Sm2 Sm 0.1036 0.3968 0.1217
Sm3 Sm 0.1989 0.2242 0.3149
# Total magnetic moment, Bohr magnetons per cell: 0.001
# DFT total energy, eV per atom: -4.60

---

[10]
# GGA-PBE CaYTe2, relaxed
data_CaYTe2
_chemical_formula_sum 'Ca4 Y4 Te8'
_cell_length_a 7.7447
_cell_length_b 7.7447
_cell_length_c 7.7447
_cell_angle_alpha 90.00
_cell_angle_beta 90.00
_cell_angle_gamma 90.00
_symmetry_space_group_name_H-M 'F -4 3 m'
_symmetry_Int_Tables_number 216
_symmetry_space_group_name_Hall 'F -4 2 3'
loop_
_atom_site_label
_atom_site_type_symbol
_atom_site_fract_x
_atom_site_fract_y
_atom_site_fract_z
Ca1 Ca 0.0000 0.0000 0.0000
Y1 Y 0.2500 0.2500 0.7500
Te1 Te 0.0000 0.0000 0.5000
Te2 Te 0.2500 0.2500 0.2500
# ΔE_f (raw), meV/atom: -450
# Total magnetic moment, Bohr magnetons per cell: 1.339
# Distance to the lowest polymorph of the same formula, eV per atom: 1.020

---

[11]
# GGA-PBE KHg2GeBi, relaxed
data_KHg2GeBi
_chemical_formula_sum 'K1 Hg2 Ge1 Bi1'
_cell_length_a 5.5455
_cell_length_b 5.5455
_cell_length_c 5.7684
_cell_angle_alpha 90.00
_cell_angle_beta 90.00
_cell_angle_gamma 90.00
_symmetry_space_group_name_H-M 'P 4/m m m'
_symmetry_Int_Tables_number 123
_symmetry_space_group_name_Hall '-P 4 2'
loop_
_atom_site_label
_atom_site_type_symbol
_atom_site_fract_x
_atom_site_fract_y
_atom_site_fract_z
K1 K 0.0000 0.0000 0.0000
Hg1 Hg 0.0000 0.5000 0.5000
Ge1 Ge 0.5000 0.5000 0.5000
Bi1 Bi 0.5000 0.5000 0.0000
# Total magnetic moment, Bohr magnetons per cell: 0.000
# DFT total energy, eV per atom: -2.02

---

[12]
# GGA-PBE CsMn2NbH, relaxed
data_CsMn2NbH
_chemical_formula_sum 'Cs1 Mn2 Nb1 H1'
_cell_length_a 5.0818
_cell_length_b 5.0818
_cell_length_c 5.3029
_cell_angle_alpha 90.00
_cell_angle_beta 90.00
_cell_angle_gamma 90.00
_symmetry_space_group_name_H-M 'P 4/m m m'
_symmetry_Int_Tables_number 123
_symmetry_space_group_name_Hall '-P 4 2'
loop_
_atom_site_label
_atom_site_type_symbol
_atom_site_fract_x
_atom_site_fract_y
_atom_site_fract_z
Cs1 Cs 0.0000 0.0000 0.0000
Mn1 Mn 0.0000 0.5000 0.0000
Nb1 Nb 0.0000 0.0000 0.5000
H1 H 0.5000 0.5000 0.5000
# Total magnetic moment, Bohr magnetons per cell: 4.813
# DFT total energy, eV per atom: -3.47